(1)
Crystalline PrTaFe at its relaxed geometry. Source: OQMD, functional PBE-GGA.

Lattice parameters (Å, degrees): 6.3924 6.3924 6.3924 90.00 90.00 90.00
With the nearest neighbours (Å) after each atom.
Space group F-43m (No. 216)
Unique sites:
Pr 0.0000 0.0000 0.0000 x4  4 Fe 2.77
Ta 0.0000 0.0000 0.5000 x4  4 Fe 2.77
Fe 0.2500 0.2500 0.2500 x4  4 Ta 2.77, 4 Pr 2.77

Density (g/cm3): 9.6
Distance to the lowest polymorph of the same formula (kcal/mol of atoms): 0.00
DFT total energy (Ry/atom): -0.5624
Energy of formation (eV per formula unit): 1.979
Magnetic moment (μB/cell): 0.0


(2)
Crystalline CoBr3 at its relaxed geometry. Source: OQMD, functional PBE-GGA.

Lattice parameters (Å, degrees): 3.9252 3.9252 13.8439 90.00 90.00 90.00
With the nearest neighbours (Å) after each atom.
Space group I4/mmm (No. 139)
Unique sites:
Co 0.0000 0.0000 0.0000 x2  4 Br 2.78
Br 0.0000 0.0000 0.5000 x2  4 Co 2.78
Br 0.0000 0.5000 0.2500 x4  4 Br 2.78

Density (g/cm3): 4.7
DFT total energy (Ry/atom): -0.1723
Magnetic moment (μB/cell): 0.5


(3)
Crystalline Ho2Er2CI5 at its relaxed geometry. Source: OQMD, functional PBE-GGA.

Lattice parameters (Å, degrees): 19.1752 3.9378 8.5284 90.00 102.43 90.00
With the nearest neighbours (Å) after each atom.
Space group C2/m (No. 12)
Unique sites:
Ho 0.0005 0.0000 0.3115 x4  2 C 2.54
Er 0.1266 0.5000 0.5627 x4  1 C 2.37
C 0.0000 0.5000 0.5000 x2  2 Er 2.37, 4 Ho 2.54
I 0.0000 0.5000 0.0000 x2  4 Ho 3.30
I 0.1619 0.0000 0.8380 x4  2 Er 3.03, 1 Ho 3.10
I 0.1654 0.0000 0.3223 x4  2 Er 3.05, 1 Ho 3.14

Density (g/cm3): 6.9
DFT total energy (Ry/atom): -0.3384
Magnetic moment (μB/cell): 0.1


(4)
Crystalline SrGdAuO3 at its relaxed geometry. Source: OQMD, functional PBE-GGA.

Lattice parameters (Å, degrees): 3.7006 12.9646 8.6448 90.00 90.00 90.00
With the nearest neighbours (Å) after each atom.
Space group Cmcm (No. 63)
Unique sites:
Sr 0.0000 0.1797 0.2500 x4  4 O 2.40-2.46
Gd 0.0000 0.5000 0.0000 x4  6 O 2.31-2.38
Au 0.0000 0.1213 0.7500 x4  2 O 2.02
O 0.0000 0.1146 0.5168 x8  1 Au 2.02
O 0.0000 0.4377 0.7500 x4  2 Gd 2.31, 2 Sr 2.40

Density (g/cm3): 7.8
DFT total energy (Ry/atom): -0.4709
Magnetic moment (μB/cell): 0.0


(5)
Crystalline RbNaNiW at its relaxed geometry. Source: OQMD, functional PBE-GGA.

Lattice parameters (Å, degrees): 7.4962 7.4962 7.4962 90.00 90.00 90.00
With the nearest neighbours (Å) after each atom.
Space group F-43m (No. 216)
Unique sites:
Rb 0.0000 0.0000 0.0000 x4  4 Ni 3.25, 4 W 3.25
Na 0.0000 0.0000 0.5000 x4  4 W 3.25, 4 Ni 3.25
Ni 0.2500 0.2500 0.7500 x4  4 Na 3.25, 4 Rb 3.25
W 0.2500 0.2500 0.2500 x4  4 Rb 3.25, 4 Na 3.25

Density (g/cm3): 5.5
Distance to the lowest polymorph of the same formula (kcal/mol of atoms): 7.09
DFT total energy (Ry/atom): -0.2337
Magnetic moment (μB/cell): 18.1


(6)
Crystalline PrAl at its relaxed geometry. Source: OQMD, functional PBE-GGA.

Lattice parameters (Å, degrees): 6.9494 6.9494 6.9494 90.00 90.00 90.00
With the nearest neighbours (Å) after each atom.
Space group F-43m (No. 216)
Unique sites:
Pr 0.0000 0.0000 0.0000 x4  4 Al 3.01
Al 0.2500 0.2500 0.2500 x4  4 Pr 3.01

Density (g/cm3): 3.3
DFT total energy (Ry/atom): -0.2504
Magnetic moment (μB/cell): 0.1


(7)
Crystalline ErZrSe2O at its relaxed geometry. Source: OQMD, functional PBE-GGA.

Lattice parameters (Å, degrees): 11.9973 3.6351 9.1934 90.00 96.01 90.00
With the nearest neighbours (Å) after each atom.
Space group C2/m (No. 12)
Unique sites:
Er 0.2264 0.0000 0.3275 x4  3 O 2.27-2.32
Zr 0.0000 0.0000 0.0000 x2  6 Se 2.67-2.83
Zr 0.0000 0.5000 0.5000 x2  2 O 2.12
Se 0.0737 0.0000 0.7176 x4  3 Zr 2.78-2.83, 2 Er 3.07
Se 0.1539 0.5000 0.0930 x4  2 Zr 2.67, 2 Er 2.88
O 0.1677 0.5000 0.4464 x4  1 Zr 2.12, 3 Er 2.27-2.32

Density (g/cm3): 7.2
DFT total energy (Ry/atom): -0.5242
Magnetic moment (μB/cell): 0.9


(8)
Crystalline Na2FeMoH6 at its relaxed geometry. Source: OQMD, functional PBE-GGA.

Lattice parameters (Å, degrees): 5.0024 5.0024 12.3245 90.00 90.00 120.00
With the nearest neighbours (Å) after each atom.
Space group R-3 (No. 148, hexagonal axes)
Unique sites:
Na 0.0000 0.0000 0.2490 x6  12 H 2.43-2.58
Fe 0.0000 0.0000 0.5000 x3  6 H 1.67
Mo 0.0000 0.0000 0.0000 x3  6 H 1.88
H 0.0193 0.4952 0.2449 x18  1 Fe 1.67

Density (g/cm3): 3.8
DFT total energy (Ry/atom): -0.3004
Magnetic moment (μB/cell): 12.0


(9)
Crystalline PrGa4Pt6 at its relaxed geometry. Source: OQMD, functional PBE-GGA.

Lattice parameters (Å, degrees): 7.3813 7.3813 3.9727 90.00 90.00 120.00
With the nearest neighbours (Å) after each atom.
Space group P-6m2 (No. 187)
Unique sites:
Pr 0.0000 0.0000 0.0000 x1  6 Pt 3.21, 6 Ga 3.22
Ga 0.3333 0.6667 0.0000 x1  9 Pt 2.56-2.64
Ga 0.3970 0.1985 0.5000 x3  6 Pt 2.53-2.62
Pt 0.1973 0.3946 0.5000 x3  4 Ga 2.53-2.64
Pt 0.5336 0.0673 0.0000 x3  5 Ga 2.56-2.62

Density (g/cm3): 14.1
DFT total energy (Ry/atom): -0.4141
Magnetic moment (μB/cell): 0.0


(10)
Crystalline LaNdAg2Ge2 at its relaxed geometry. Source: OQMD, functional PBE-GGA.

Lattice parameters (Å, degrees): 4.5667 4.5667 7.8761 90.00 90.00 120.00
With the nearest neighbours (Å) after each atom.
Space group P3m1 (No. 156)
Unique sites:
La 0.0000 0.0000 0.0000 x1  6 Ge 3.13-3.48, 6 Ag 3.26-3.34
Nd 0.0000 0.0000 0.5000 x1  6 Ge 3.12-3.47, 6 Ag 3.25-3.32
Ag 0.3333 0.6667 0.2428 x1  3 Ge 2.66
Ag 0.6667 0.3333 0.7404 x1  3 Ge 2.66
Ge 0.3333 0.6667 0.7867 x1  3 Ag 2.66
Ge 0.6667 0.3333 0.2879 x1  3 Ag 2.66

Density (g/cm3): 7.5
DFT total energy (Ry/atom): -0.3474
Magnetic moment (μB/cell): 0.0


(11)
Crystalline TaBe2Nb2 at its relaxed geometry. Source: OQMD, functional PBE-GGA.

Lattice parameters (Å, degrees): 6.5179 6.5179 3.3605 90.00 90.00 90.00
With the nearest neighbours (Å) after each atom.
Space group P4/mbm (No. 127)
Unique sites:
Ta 0.0000 0.0000 0.0000 x2  4 Be 2.62, 8 Nb 2.93
Be 0.1142 0.3858 0.0000 x4  1 Be 2.11
Nb 0.1790 0.6790 0.5000 x4  6 Be 2.54-2.58

Density (g/cm3): 9.0
DFT total energy (Ry/atom): -0.5930
Magnetic moment (μB/cell): 0.0


(12)
Crystalline BaTbSi at its relaxed geometry. Source: OQMD, functional PBE-GGA.

Lattice parameters (Å, degrees): 7.4273 7.4273 7.4273 90.00 90.00 90.00
With the nearest neighbours (Å) after each atom.
Space group F-43m (No. 216)
Unique sites:
Ba 0.0000 0.0000 0.0000 x4  4 Si 3.22
Tb 0.0000 0.0000 0.5000 x4  4 Si 3.22
Si 0.2500 0.2500 0.2500 x4  4 Ba 3.22, 4 Tb 3.22

Density (g/cm3): 5.3
DFT total energy (Ry/atom): -0.3030
Magnetic moment (μB/cell): 1.8


Question: Which of these has the highest magnetic moment?
Answer: RbNaNiW